Below is a geometry-optimized TaV2CuO structure, with properties calculated at the GGA+U level.

Values from the calculation:
**V**: 102 Å³ per cell
**Electronic total energy**: -0.3970 Ry/atom

Cell: 4.7218 4.7218 4.5657 Å, 90.00 90.00 90.00°
Space group P4/mmm (No. 123)
Symmetry-distinct sites (fractional):
Ta 0.0000 0.0000 0.0000 [1 per cell]
V 0.0000 0.5000 0.5000 [2 per cell]
Cu 0.0000 0.0000 0.5000 [1 per cell]
O 0.5000 0.5000 0.0000 [1 per cell]